(1)
# Sr2MoAs PBE relaxed
# Total magnetic moment ... 0.05 μB/cell
# N(E_F) ... 1.006 states/eV per atom
# Calculated formation energy ... -4 meV/atom
data_Sr2MoAs
_chemical_formula_sum 'Sr4 Mo2 As2'
_cell_length_a 4.321
_cell_length_b 4.685
_cell_length_c 11.778
_cell_angle_alpha 90.00
_cell_angle_beta 90.00
_cell_angle_gamma 90.00
_space_group_name_H-M_alt 'A m m 2'
_space_group_IT_number 38
_space_group_name_Hall 'A 2 -2'
loop_
_atom_site_label
_atom_site_fract_x
_atom_site_fract_y
_atom_site_fract_z
_atom_site_occupancy
Sr1 0.000 0.000 0.000 1
Sr2 0.500 0.000 0.288 1
Mo1 0.500 0.000 0.596 1
As1 0.000 0.000 0.699 1

(2)
# ZnSbMo2 PBE relaxed
# Total magnetic moment ... 0.00 μB/cell
# N(E_F) ... 1.147 states/eV per atom
# E above lowest polymorph ... 282 meV per atom
# ΔE_f (raw) ... 0.40 eV per atom
data_ZnSbMo2
_chemical_formula_sum 'Zn2 Sb2 Mo4'
_cell_length_a 5.761
_cell_length_b 6.714
_cell_length_c 3.484
_cell_angle_alpha 90.00
_cell_angle_beta 90.00
_cell_angle_gamma 90.00
_space_group_name_H-M_alt 'C m m m'
_space_group_IT_number 65
_space_group_name_Hall '-C 2 2'
loop_
_atom_site_label
_atom_site_fract_x
_atom_site_fract_y
_atom_site_fract_z
_atom_site_occupancy
Zn1 0.000 0.000 0.000 1
Sb1 0.000 0.500 0.000 1
Mo1 0.250 0.250 0.500 1

(3)
# La14TbTl PBE relaxed
# Total magnetic moment ... 0.00 μB/cell
# N(E_F) ... 1.306 states/eV per atom
# Calculated formation energy ... -48 meV/atom
data_La14TbTl
_chemical_formula_sum 'La28 Tb2 Tl2'
_cell_length_a 10.370
_cell_length_b 10.383
_cell_length_c 10.420
_cell_angle_alpha 90.00
_cell_angle_beta 90.00
_cell_angle_gamma 90.00
_space_group_name_H-M_alt 'C m m m'
_space_group_IT_number 65
_space_group_name_Hall '-C 2 2'
loop_
_atom_site_label
_atom_site_fract_x
_atom_site_fract_y
_atom_site_fract_z
_atom_site_occupancy
La1 0.000 0.000 0.000 1
La2 0.000 0.246 0.255 1
La3 0.000 0.500 0.000 1
La4 0.246 0.000 0.255 1
La5 0.250 0.250 0.000 1
La6 0.250 0.250 0.500 1
Tb1 0.000 0.500 0.500 1
Tl1 0.000 0.000 0.500 1

(4)
# Ni3Sb PBE relaxed
# Total magnetic moment ... 0.00 μB/cell
# N(E_F) ... 0.960 states/eV per atom
# E above lowest polymorph ... 49 meV per atom
# ΔE_f (raw) ... -0.10 eV per atom
data_Ni3Sb
_chemical_formula_sum 'Ni12 Sb4'
_cell_length_a 5.928
_cell_length_b 5.928
_cell_length_c 5.928
_cell_angle_alpha 90.00
_cell_angle_beta 90.00
_cell_angle_gamma 90.00
_space_group_name_H-M_alt 'F m -3 m'
_space_group_IT_number 225
_space_group_name_Hall '-F 4 2 3'
loop_
_atom_site_label
_atom_site_fract_x
_atom_site_fract_y
_atom_site_fract_z
_atom_site_occupancy
Ni1 0.000 0.000 0.000 1
Ni2 0.250 0.250 0.250 1
Sb1 0.000 0.000 0.500 1

(5)
# La2TlP PBE relaxed
# Total magnetic moment ... 0.00 μB/cell
# N(E_F) ... 1.057 states/eV per atom
# Calculated formation energy ... -827 meV/atom
# E above lowest polymorph ... 133 meV per atom
data_La2TlP
_chemical_formula_sum 'La2 Tl1 P1'
_cell_length_a 3.652
_cell_length_b 3.652
_cell_length_c 8.262
_cell_angle_alpha 90.00
_cell_angle_beta 90.00
_cell_angle_gamma 90.00
_space_group_name_H-M_alt 'P 4/m m m'
_space_group_IT_number 123
_space_group_name_Hall '-P 4 2'
loop_
_atom_site_label
_atom_site_fract_x
_atom_site_fract_y
_atom_site_fract_z
_atom_site_occupancy
La1 0.000 0.000 0.206 1
Tl1 0.500 0.500 0.500 1
P1 0.500 0.500 0.000 1

(6)
# ZnCd3F8 PBE relaxed
# Total magnetic moment ... 0.00 μB/cell
# N(E_F) ... 0.000 states/eV per atom
# ΔE_f (raw) ... -2.18 eV per atom
data_ZnCd3F8
_chemical_formula_sum 'Zn1 Cd3 F8'
_cell_length_a 5.391
_cell_length_b 5.391
_cell_length_c 5.391
_cell_angle_alpha 90.00
_cell_angle_beta 90.00
_cell_angle_gamma 90.00
_space_group_name_H-M_alt 'P m -3 m'
_space_group_IT_number 221
_space_group_name_Hall '-P 4 2 3'
loop_
_atom_site_label
_atom_site_fract_x
_atom_site_fract_y
_atom_site_fract_z
_atom_site_occupancy
Zn1 0.000 0.000 0.000 1
Cd1 0.000 0.500 0.500 1
F1 0.242 0.242 0.242 1

(7)
# LaFe2Cl PBE relaxed
# Total magnetic moment ... 4.78 μB/cell
# N(E_F) ... 0.728 states/eV per atom
# E above lowest polymorph ... 35 meV per atom
# ΔE_f (raw) ... -0.17 eV per atom
data_LaFe2Cl
_chemical_formula_sum 'La1 Fe2 Cl1'
_cell_length_a 3.292
_cell_length_b 3.292
_cell_length_c 8.105
_cell_angle_alpha 90.00
_cell_angle_beta 90.00
_cell_angle_gamma 90.00
_space_group_name_H-M_alt 'P 4 m m'
_space_group_IT_number 99
_space_group_name_Hall 'P 4 -2'
loop_
_atom_site_label
_atom_site_fract_x
_atom_site_fract_y
_atom_site_fract_z
_atom_site_occupancy
La1 0.000 0.000 0.000 1
Fe1 0.000 0.000 0.625 1
Fe2 0.500 0.500 0.732 1
Cl1 0.500 0.500 0.230 1

(8)
# Pm2YCd6 PBE relaxed
# Total magnetic moment ... 0.27 μB/cell
# N(E_F) ... 0.882 states/eV per atom
# Calculated formation energy ... -339 meV/atom
data_Pm2YCd6
_chemical_formula_sum 'Pm2 Y1 Cd6'
_cell_length_a 8.7132
_cell_length_b 8.7132
_cell_length_c 3.4604
_cell_angle_alpha 90.00
_cell_angle_beta 90.00
_cell_angle_gamma 120.00
_space_group_name_H-M_alt 'P 6/m m m'
_space_group_IT_number 191
_space_group_name_Hall '-P 6 2'
loop_
_atom_site_label
_atom_site_fract_x
_atom_site_fract_y
_atom_site_fract_z
_atom_site_occupancy
Pm1 0.3333 0.6667 0.0000 1
Y1 0.0000 0.0000 0.0000 1
Cd1 0.0000 0.3311 0.5000 1

(9)
# Sm5PaSb6 PBE relaxed
# Total magnetic moment ... 0.25 μB/cell
# N(E_F) ... 0.517 states/eV per atom
# ΔE_f (raw) ... -1.07 eV per atom
data_Sm5PaSb6
_chemical_formula_sum 'Sm10 Pa2 Sb12'
_cell_length_a 7.705
_cell_length_b 13.344
_cell_length_c 7.701
_cell_angle_alpha 90.00
_cell_angle_beta 109.45
_cell_angle_gamma 90.00
_space_group_name_H-M_alt 'C 1 2/m 1'
_space_group_IT_number 12
_space_group_name_Hall '-C 2y'
loop_
_atom_site_label
_atom_site_fract_x
_atom_site_fract_y
_atom_site_fract_z
_atom_site_occupancy
Sm1 0.000 0.000 0.000 1
Sm2 0.000 0.166 0.500 1
Sm3 0.000 0.331 0.000 1
Pa1 0.000 0.500 0.500 1
Sb1 0.244 0.500 0.253 1
Sb2 0.245 0.337 0.746 1

(10)
# ZrFeSb PBE relaxed
# Total magnetic moment ... 1.27 μB/cell
# N(E_F) ... 0.659 states/eV per atom
# ΔE_f (raw) ... -0.26 eV per atom
data_ZrFeSb
_chemical_formula_sum 'Zr1 Fe1 Sb1'
_cell_length_a 4.3344
_cell_length_b 4.3344
_cell_length_c 3.4413
_cell_angle_alpha 90.00
_cell_angle_beta 90.00
_cell_angle_gamma 120.00
_space_group_name_H-M_alt 'P 3 m 1'
_space_group_IT_number 156
_space_group_name_Hall 'P 3 -2"'
loop_
_atom_site_label
_atom_site_fract_x
_atom_site_fract_y
_atom_site_fract_z
_atom_site_occupancy
Zr1 0.0000 0.0000 0.0000 1
Fe1 0.3333 0.6667 0.4040 1
Sb1 0.6667 0.3333 0.4833 1

(11)
# TlBrO2 PBE relaxed
# Total magnetic moment ... 5.95 μB/cell
# N(E_F) ... 0.766 states/eV per atom
# E above lowest polymorph ... 579 meV per atom
# ΔE_f (raw) ... 0.23 eV per atom
data_TlBrO2
_chemical_formula_sum 'Tl4 Br4 O8'
_cell_length_a 7.055
_cell_length_b 7.055
_cell_length_c 6.390
_cell_angle_alpha 90.00
_cell_angle_beta 90.00
_cell_angle_gamma 90.00
_space_group_name_H-M_alt 'I 4/m c m'
_space_group_IT_number 140
_space_group_name_Hall '-I 4 2c'
loop_
_atom_site_label
_atom_site_fract_x
_atom_site_fract_y
_atom_site_fract_z
_atom_site_occupancy
Tl1 0.000 0.500 0.250 1
Br1 0.000 0.000 0.250 1
O1 0.150 0.350 0.000 1

(12)
# SrSc2TlN PBE relaxed
# Total magnetic moment ... 0.00 μB/cell
# N(E_F) ... 0.707 states/eV per atom
# ΔE_f (raw) ... -0.72 eV per atom
data_SrSc2TlN
_chemical_formula_sum 'Sr1 Sc2 Tl1 N1'
_cell_length_a 4.582
_cell_length_b 4.582
_cell_length_c 5.106
_cell_angle_alpha 90.00
_cell_angle_beta 90.00
_cell_angle_gamma 90.00
_space_group_name_H-M_alt 'P 4/m m m'
_space_group_IT_number 123
_space_group_name_Hall '-P 4 2'
loop_
_atom_site_label
_atom_site_fract_x
_atom_site_fract_y
_atom_site_fract_z
_atom_site_occupancy
Sr1 0.000 0.000 0.000 1
Sc1 0.000 0.500 0.500 1
Tl1 0.500 0.500 0.000 1
N1 0.000 0.000 0.500 1

(13)
# SrMgZr4 PBE relaxed
# Total magnetic moment ... 0.00 μB/cell
# N(E_F) ... 1.462 states/eV per atom
# Calculated formation energy ... 394 meV/atom
data_SrMgZr4
_chemical_formula_sum 'Sr4 Mg4 Zr16'
_cell_length_a 8.640
_cell_length_b 8.640
_cell_length_c 8.640
_cell_angle_alpha 90.00
_cell_angle_beta 90.00
_cell_angle_gamma 90.00
_space_group_name_H-M_alt 'F -4 3 m'
_space_group_IT_number 216
_space_group_name_Hall 'F -4 2 3'
loop_
_atom_site_label
_atom_site_fract_x
_atom_site_fract_y
_atom_site_fract_z
_atom_site_occupancy
Sr1 0.000 0.000 0.000 1
Mg1 0.250 0.250 0.250 1
Zr1 0.125 0.125 0.625 1

(14)
# TiSe3Cl PBE relaxed
# Total magnetic moment ... 0.00 μB/cell
# N(E_F) ... 1.645 states/eV per atom
# E above lowest polymorph ... 0 meV per atom
# ΔE_f (raw) ... -0.22 eV per atom
data_TiSe3Cl
_chemical_formula_sum 'Ti1 Se3 Cl1'
_cell_length_a 4.932
_cell_length_b 4.932
_cell_length_c 4.932
_cell_angle_alpha 90.00
_cell_angle_beta 90.00
_cell_angle_gamma 90.00
_space_group_name_H-M_alt 'P m -3 m'
_space_group_IT_number 221
_space_group_name_Hall '-P 4 2 3'
loop_
_atom_site_label
_atom_site_fract_x
_atom_site_fract_y
_atom_site_fract_z
_atom_site_occupancy
Ti1 0.000 0.000 0.000 1
Se1 0.000 0.000 0.500 1
Cl1 0.500 0.500 0.500 1

(15)
# LuScZnCo PBE relaxed
# Total magnetic moment ... 0.00 μB/cell
# N(E_F) ... 0.595 states/eV per atom
# Calculated formation energy ... -299 meV/atom
data_LuScZnCo
_chemical_formula_sum 'Lu4 Sc4 Zn4 Co4'
_cell_length_a 6.598
_cell_length_b 6.598
_cell_length_c 6.598
_cell_angle_alpha 90.00
_cell_angle_beta 90.00
_cell_angle_gamma 90.00
_space_group_name_H-M_alt 'F -4 3 m'
_space_group_IT_number 216
_space_group_name_Hall 'F -4 2 3'
loop_
_atom_site_label
_atom_site_fract_x
_atom_site_fract_y
_atom_site_fract_z
_atom_site_occupancy
Lu1 0.000 0.000 0.000 1
Sc1 0.000 0.000 0.500 1
Zn1 0.250 0.250 0.250 1
Co1 0.250 0.250 0.750 1

(16)
# Lu2HfCl PBE relaxed
# Total magnetic moment ... 0.00 μB/cell
# N(E_F) ... 1.191 states/eV per atom
# ΔE_f (raw) ... -0.58 eV per atom
data_Lu2HfCl
_chemical_formula_sum 'Lu6 Hf3 Cl3'
_cell_length_a 3.4422
_cell_length_b 3.4422
_cell_length_c 28.1497
_cell_angle_alpha 90.00
_cell_angle_beta 90.00
_cell_angle_gamma 120.00
_space_group_name_H-M_alt 'R -3 m'
_space_group_IT_number 166
_space_group_name_Hall '-R 3 2"'
loop_
_atom_site_label
_atom_site_fract_x
_atom_site_fract_y
_atom_site_fract_z
_atom_site_occupancy
Lu1 0.0000 0.0000 0.2444 1
Hf1 0.0000 0.0000 0.0000 1
Cl1 0.0000 0.0000 0.5000 1

(17)
# Ho3PaPd12 PBE relaxed
# Total magnetic moment ... 0.00 μB/cell
# N(E_F) ... 0.237 states/eV per atom
# Calculated formation energy ... -908 meV/atom
data_Ho3PaPd12
_chemical_formula_sum 'Ho3 Pa1 Pd12'
_cell_length_a 4.129
_cell_length_b 4.129
_cell_length_c 16.405
_cell_angle_alpha 90.00
_cell_angle_beta 90.00
_cell_angle_gamma 90.00
_space_group_name_H-M_alt 'P 4/m m m'
_space_group_IT_number 123
_space_group_name_Hall '-P 4 2'
loop_
_atom_site_label
_atom_site_fract_x
_atom_site_fract_y
_atom_site_fract_z
_atom_site_occupancy
Ho1 0.000 0.000 0.000 1
Ho2 0.000 0.000 0.244 1
Pa1 0.000 0.000 0.500 1
Pd1 0.000 0.500 0.125 1
Pd2 0.000 0.500 0.378 1
Pd3 0.500 0.500 0.000 1
Pd4 0.500 0.500 0.252 1
Pd5 0.500 0.500 0.500 1

(18)
# ZrCrSi3 PBE relaxed
# Total magnetic moment ... 0.11 μB/cell
# N(E_F) ... 1.273 states/eV per atom
# E above lowest polymorph ... 0 meV per atom
# ΔE_f (raw) ... 0.34 eV per atom
data_ZrCrSi3
_chemical_formula_sum 'Zr1 Cr1 Si3'
_cell_length_a 4.406
_cell_length_b 4.406
_cell_length_c 4.406
_cell_angle_alpha 90.00
_cell_angle_beta 90.00
_cell_angle_gamma 90.00
_space_group_name_H-M_alt 'P m -3 m'
_space_group_IT_number 221
_space_group_name_Hall '-P 4 2 3'
loop_
_atom_site_label
_atom_site_fract_x
_atom_site_fract_y
_atom_site_fract_z
_atom_site_occupancy
Zr1 0.000 0.000 0.000 1
Cr1 0.500 0.500 0.500 1
Si1 0.000 0.500 0.500 1

(19)
# Pu2Zn3Pd PBE relaxed
# Total magnetic moment ... 23.13 μB/cell
# N(E_F) ... 2.318 states/eV per atom
# Calculated formation energy ... -326 meV/atom
# E above lowest polymorph ... 0 meV per atom
data_Pu2Zn3Pd
_chemical_formula_sum 'Pu4 Zn6 Pd2'
_cell_length_a 5.3956
_cell_length_b 5.3956
_cell_length_c 9.0096
_cell_angle_alpha 90.00
_cell_angle_beta 90.00
_cell_angle_gamma 120.00
_space_group_name_H-M_alt 'P 63/m m c'
_space_group_IT_number 194
_space_group_name_Hall '-P 6c 2c'
loop_
_atom_site_label
_atom_site_fract_x
_atom_site_fract_y
_atom_site_fract_z
_atom_site_occupancy
Pu1 0.3333 0.6667 0.0526 1
Zn1 0.1648 0.3297 0.7500 1
Pd1 0.0000 0.0000 0.0000 1

(20)
# LaTm2Ge2Pt7 PBE relaxed
# Total magnetic moment ... 0.00 μB/cell
# N(E_F) ... 0.416 states/eV per atom
# Calculated formation energy ... -898 meV/atom
data_LaTm2Ge2Pt7
_chemical_formula_sum 'La2 Tm4 Ge4 Pt14'
_cell_length_a 5.844
_cell_length_b 5.738
_cell_length_c 14.152
_cell_angle_alpha 90.00
_cell_angle_beta 100.02
_cell_angle_gamma 90.00
_space_group_name_H-M_alt 'C 1 2/m 1'
_space_group_IT_number 12
_space_group_name_Hall '-C 2y'
loop_
_atom_site_label
_atom_site_fract_x
_atom_site_fract_y
_atom_site_fract_z
_atom_site_occupancy
La1 0.000 0.000 0.000 1
Tm1 0.132 0.000 0.362 1
Ge1 0.114 0.500 0.265 1
Pt1 0.000 0.500 0.000 1
Pt2 0.143 0.500 0.436 1
Pt3 0.178 0.250 0.835 1